1.
BaScBr2, relaxed, DFT PBEsol; energy relative to the elements, uncorrected = -0.9941 eV per atom; space group = Cmmm (65); calculated volume = 29.24 Å³ per atom; crystal system = orthorhombic
1.0
1.8461 -3.3575 0.0000
1.8461 3.3575 0.0000
0.0000 0.0000 9.4340
Ba Sc Br
1 1 2
Direct
0.0000 0.0000 0.0000 Ba
0.0000 0.0000 0.5000 Sc
0.5000 0.5000 0.2837 Br
0.5000 0.5000 0.7163 Br

***

2.
BaScBr2, relaxed, DFT PBEsol; energy relative to the elements, uncorrected = -1.1355 eV per atom; space group = Pmmm (47); calculated volume = 28.56 Å³ per atom; crystal system = orthorhombic
1.0
3.8576 0.0000 0.0000
0.0000 4.3409 0.0000
0.0000 0.0000 6.8226
Ba Sc Br
1 1 2
Direct
0.0000 0.0000 0.0000 Ba
0.5000 0.0000 0.5000 Sc
0.5000 0.5000 0.2470 Br
0.5000 0.5000 0.7530 Br

***

3.
BaScBr, relaxed, DFT PBEsol; energy relative to the elements, uncorrected = -0.2032 eV per atom; space group = F-43m (216); calculated volume = 33.77 Å³ per atom; crystal system = cubic
1.0
0.0000 3.7001 3.7001
3.7001 0.0000 3.7001
3.7001 3.7001 0.0000
Ba Sc Br
1 1 1
Direct
0.0000 0.0000 0.0000 Ba
0.5000 0.5000 0.5000 Sc
0.2500 0.2500 0.2500 Br

***

4.
BaScBr, relaxed, DFT PBEsol; energy relative to the elements, uncorrected = 0.2634 eV per atom; space group = F-43m (216); calculated volume = 42.70 Å³ per atom; crystal system = cubic
1.0
0.0000 4.0012 4.0012
4.0012 0.0000 4.0012
4.0012 4.0012 0.0000
Ba Sc Br
1 1 1
Direct
0.0000 0.0000 0.0000 Ba
0.2500 0.2500 0.2500 Sc
0.7500 0.7500 0.7500 Br

***

5.
BaSe2Br, relaxed, DFT PBEsol; energy relative to the elements, uncorrected = -0.7816 eV per atom; space group = I-4m2 (119); calculated volume = 26.57 Å³ per atom; crystal system = tetragonal
1.0
-2.2785 2.2785 5.1178
2.2785 -2.2785 5.1178
2.2785 2.2785 -5.1178
Ba Se Br
1 2 1
Direct
0.0000 0.0000 0.0000 Ba
0.2500 0.7500 0.5000 Se
0.5000 0.5000 0.0000 Se
0.7500 0.2500 0.5000 Br

***

6.
BaSeBr2, relaxed, DFT PBEsol; energy relative to the elements, uncorrected = -1.2198 eV per atom; space group = Imm2 (44); calculated volume = 31.77 Å³ per atom; crystal system = orthorhombic
1.0
-2.1067 2.1649 6.9654
2.1067 -2.1649 6.9654
2.1067 2.1649 -6.9654
Ba Se Br
1 1 2
Direct
0.0000 0.0000 0.0000 Ba
0.8214 0.3214 0.5000 Se
0.3223 0.8223 0.5000 Br
0.5807 0.5807 0.0000 Br

***

7.
BaSeBr2, relaxed, DFT PBEsol; energy relative to the elements, uncorrected = -1.0677 eV per atom; space group = Fm-3m (225); calculated volume = 29.58 Å³ per atom; crystal system = cubic
1.0
0.0000 3.8965 3.8965
3.8965 0.0000 3.8965
3.8965 3.8965 0.0000
Ba Se Br
1 1 2
Direct
0.0000 0.0000 0.0000 Ba
0.5000 0.5000 0.5000 Se
0.2500 0.2500 0.2500 Br
0.7500 0.7500 0.7500 Br

***

8.
BaSrSe2Br, relaxed, DFT PBEsol; energy relative to the elements, uncorrected = -1.3640 eV per atom; space group = P4/mmm (123); calculated volume = 36.26 Å³ per atom; crystal system = tetragonal
1.0
5.6494 0.0000 0.0000
0.0000 5.6494 0.0000
0.0000 0.0000 5.6807
Ba Sr Se Br
1 1 2 1
Direct
0.0000 0.0000 0.0000 Ba
0.5000 0.5000 0.5000 Sr
0.0000 0.5000 0.5000 Se
0.5000 0.0000 0.5000 Se
0.5000 0.5000 0.0000 Br

***

no.,total DFT energy (no corrections) (eV for the cell shown)
1,-16.47
2,-17.04
3,-11.23
4,-9.83
5,-14.85
6,-14.62
7,-14.01
8,-20.38